Record 1
The following is a DFT calculation (PBE) of a geometry-optimized CaSmEuSbO6 structure.

## Properties
energy relative to the elements, uncorrected	-2380	kJ/mol of formula units
volume	606.08	Å³ per cell

a = 8.463 Å, b = 8.463 Å, c = 8.463 Å
α = 90.00°, β = 90.00°, γ = 90.00°
Space group F-43m (No. 216)
One atom of each set of equivalent atoms:
1 Ca 0.000 0.000 0.000
2 Sm 0.250 0.250 0.250
3 Eu 0.000 0.000 0.500
4 Sb 0.250 0.250 0.750
5 O 0.015 0.250 0.750

Record 2
The following is a DFT calculation (PBE) of a geometry-optimized CaEuYSbO6 structure.

## Properties
energy relative to the elements, uncorrected	-2442	kJ/mol of formula units
volume	583.16	Å³ per cell

a = 8.355 Å, b = 8.355 Å, c = 8.355 Å
α = 90.00°, β = 90.00°, γ = 90.00°
Space group F-43m (No. 216)
One atom of each set of equivalent atoms:
1 Ca 0.000 0.000 0.000
2 Eu 0.000 0.000 0.500
3 Y 0.250 0.250 0.750
4 Sb 0.250 0.250 0.250
5 O 0.013 0.250 0.250

Record 3
The following is a DFT calculation (PBE) of a geometry-optimized SrCaEuSeO6 structure.

## Properties
energy relative to the elements, uncorrected	-2041	kJ/mol of formula units
volume	533.21	Å³ per cell

a = 8.109 Å, b = 8.109 Å, c = 8.109 Å
α = 90.00°, β = 90.00°, γ = 90.00°
Space group F-43m (No. 216)
One atom of each set of equivalent atoms:
1 Sr 0.000 0.000 0.000
2 Ca 0.250 0.250 0.250
3 Eu 0.000 0.000 0.500
4 Se 0.250 0.250 0.750
5 O 0.024 0.250 0.750

D(E_F) values (in states/eV/f.u.) by entry order: 13.8; 13.8; 12.9.
E_tot values (in eV/atom) by entry order: -7.553; -7.793; -6.834.